A geometry-optimized NaCa2TlPt structure. Source: Alexandria, functional PBE.

## Properties
The calculation puts the calculated total energy at -3.069 eV/atom. For the magnetic moment, the calculation gives 0.00 μB/f.u. The value obtained for the energy of formation from the pure elements is -0.32 eV per atom.

Cell lengths 5.501, 5.501, 5.456 Å; angles 90.00, 90.00, 90.00 degrees
Positions (direct):
Na: 0.000 0.000 0.500
Tl: 0.500 0.500 0.500
Ca: 0.000 0.500 0.000
Ca: 0.500 0.000 0.000
Pt: 0.000 0.000 0.000

A geometry-optimized YTiAlCd structure. Source: Alexandria, functional PBE.

## Properties
The calculation puts the calculated total energy at -4.901 eV/atom. For the magnetic moment, the calculation gives 0.00 μB/f.u. The value obtained for the energy of formation from the pure elements is -0.15 eV per atom.

Cell lengths 4.922, 4.922, 4.922 Å; angles 60.00, 60.00, 60.00 degrees
Positions (direct):
Y: 0.000 0.000 0.000
Ti: 0.500 0.500 0.500
Al: 0.750 0.750 0.750
Cd: 0.250 0.250 0.250

A geometry-optimized TbPm5Tl6 structure. Source: Alexandria, functional PBE.

## Properties
The calculation puts the calculated total energy at -3.931 eV/atom. For the magnetic moment, the calculation gives 0.00 μB/f.u. The value obtained for the energy of formation from the pure elements is -0.38 eV per atom.

Cell lengths 5.493, 7.670, 8.707 Å; angles 90.00, 71.28, 90.00 degrees
Positions (direct):
Tl: 0.835 0.753 0.330
Tl: 0.835 0.247 0.330
Tl: 0.500 0.248 0.000
Tl: 0.500 0.752 0.000
Tl: 0.165 0.753 0.670
Tl: 0.165 0.247 0.670
Tb: 0.000 0.000 0.000
Pm: 0.668 0.500 0.663
Pm: 0.334 0.000 0.333
Pm: 0.000 0.500 0.000
Pm: 0.666 0.000 0.667
Pm: 0.332 0.500 0.337

A geometry-optimized NpPaPb2O8 structure. Source: Alexandria, functional PBE.

## Properties
The calculation puts the calculated total energy at -8.156 eV/atom. For the magnetic moment, the calculation gives 0.05 μB/f.u.

Cell lengths 5.407, 5.411, 7.154 Å; angles 90.00, 90.00, 91.37 degrees
Each line ends with the local moment (μB).
Positions (direct):
Np: 0.000 0.000 0.000  -0.08
Pa: 0.000 0.000 0.500  0.00
Pb: 0.500 0.500 0.743  0.00
Pb: 0.500 0.500 0.257  0.00
O: 0.165 0.833 0.240  0.00
O: 0.749 0.754 0.000  0.00
O: 0.835 0.167 0.240  0.00
O: 0.835 0.167 0.760  0.00
O: 0.251 0.246 0.000  0.00
O: 0.165 0.833 0.760  0.00
O: 0.720 0.723 0.500  0.00
O: 0.280 0.277 0.500  0.00

A geometry-optimized Si2BrCl structure. Source: Alexandria, functional PBE.

## Properties
The calculation puts the calculated total energy at -3.659 eV/atom. For the magnetic moment, the calculation gives 0.00 μB/f.u.

Cell lengths 5.748, 5.748, 7.722 Å; angles 126.33, 126.33, 39.63 degrees
Positions (direct):
Br: 0.750 0.750 0.750
Cl: 0.250 0.250 0.250
Si: 0.995 0.995 0.158
Si: 0.505 0.505 0.342

A geometry-optimized LaTcS2O structure. Source: Alexandria, functional PBE.

## Properties
The calculation puts the calculated total energy at -7.077 eV/atom. For the magnetic moment, the calculation gives 0.00 μB/f.u.

Cell lengths 4.879, 3.808, 4.879 Å; angles 90.00, 90.00, 90.00 degrees
Positions (direct):
S: 0.000 0.000 0.500
S: 0.500 0.000 0.000
Tc: 0.000 0.000 0.000
O: 0.000 0.500 0.000
La: 0.500 0.500 0.500

A geometry-optimized InSiAu2 structure. Source: Alexandria, functional PBE.

## Properties
The calculation puts the calculated total energy at -3.595 eV/atom. For the magnetic moment, the calculation gives 0.00 μB/f.u.

Cell lengths 3.454, 4.423, 5.802 Å; angles 65.66, 90.00, 90.00 degrees
Positions (direct):
Au: 0.000 0.958 0.979
Au: 0.000 0.542 0.521
In: 0.500 0.250 0.250
Si: 0.500 0.750 0.750

A geometry-optimized Ac2La3Os2 structure. Source: Alexandria, functional PBE.

## Properties
The calculation puts the calculated total energy at -6.592 eV/atom. For the magnetic moment, the calculation gives 0.00 μB/f.u. The value obtained for the energy of formation from the pure elements is -0.10 eV per atom.

Cell lengths 4.109, 6.749, 9.411 Å; angles 114.92, 90.00, 107.73 degrees
Positions (direct):
Ac: 0.830 0.660 0.200
Ac: 0.170 0.340 0.800
La: 0.500 0.000 0.000
La: 0.622 0.245 0.419
La: 0.378 0.755 0.581
Os: 0.826 0.652 0.758
Os: 0.174 0.348 0.242

A geometry-optimized Y2ZnGe3Ir4 structure. Source: Alexandria, functional PBE.

## Properties
The calculation puts the calculated total energy at -7.065 eV/atom. For the magnetic moment, the calculation gives 0.00 μB/f.u. The value obtained for the energy of formation from the pure elements is -0.72 eV per atom.

Cell lengths 4.167, 4.167, 10.421 Å; angles 90.00, 90.00, 90.00 degrees
Positions (direct):
Y: 0.500 0.000 0.248
Y: 0.000 0.500 0.752
Zn: 0.500 0.500 0.500
Ge: 0.000 0.000 0.500
Ge: 0.500 0.000 0.869
Ge: 0.000 0.500 0.131
Ir: 0.500 0.500 0.000
Ir: 0.000 0.000 0.000
Ir: 0.500 0.000 0.637
Ir: 0.000 0.500 0.363

A geometry-optimized PmEr4Au5 structure. Source: Alexandria, functional PBE.

## Properties
The calculation puts the calculated total energy at -4.804 eV/atom. For the magnetic moment, the calculation gives 0.00 μB/f.u. The value obtained for the energy of formation from the pure elements is -0.87 eV per atom.

Cell lengths 3.562, 3.562, 18.260 Å; angles 90.00, 90.00, 90.00 degrees
Positions (direct):
Pm: 0.000 0.000 0.000
Er: 0.000 0.000 0.204
Er: 0.000 0.000 0.401
Er: 0.000 0.000 0.599
Er: 0.000 0.000 0.796
Au: 0.500 0.500 0.110
Au: 0.500 0.500 0.303
Au: 0.500 0.500 0.500
Au: 0.500 0.500 0.697
Au: 0.500 0.500 0.890

A geometry-optimized AcLu3Rh structure. Source: Alexandria, functional PBE.

## Properties
The calculation puts the calculated total energy at -5.359 eV/atom. For the magnetic moment, the calculation gives 0.00 μB/f.u. The value obtained for the energy of formation from the pure elements is -0.35 eV per atom.

Cell lengths 5.375, 5.375, 5.375 Å; angles 90.00, 90.00, 90.00 degrees
Positions (direct):
Ac: 0.500 0.500 0.500
Lu: 0.000 0.500 0.000
Lu: 0.000 0.000 0.500
Lu: 0.500 0.000 0.000
Rh: 0.000 0.000 0.000

A geometry-optimized CsTiAsN2 structure. Source: Alexandria, functional PBE.

## Properties
The calculation puts the calculated total energy at -3.937 eV/atom. For the magnetic moment, the calculation gives 1.86 μB/f.u.

Cell lengths 4.143, 5.732, 4.143 Å; angles 90.00, 90.00, 90.00 degrees
Each line ends with the local moment (μB).
Positions (direct):
Cs: 0.000 0.500 0.000  0.14
As: 0.000 0.000 0.000  0.02
N: 0.000 0.000 0.500  -0.41
N: 0.500 0.000 0.000  -0.49
Ti: 0.500 0.500 0.500  2.16